The following is a GGA+U calculation of a relaxed structure of HgMo2F7, from Alexandria via LeMat-Bulk.

```
HgMo2F7
1.0
4.201 0.000 0.000
0.000 6.039 -2.947
0.000 -0.633 6.690
Mo F Hg
2 7 1
direct
0.500 0.320 0.680 Mo
0.500 0.680 0.320 Mo
0.500 0.656 0.967 F
0.500 0.033 0.344 F
0.000 0.319 0.681 F
0.500 0.344 0.033 F
0.000 0.681 0.319 F
0.500 0.500 0.500 F
0.500 0.967 0.656 F
0.000 0.000 0.000 Hg
```

Calculated values
- energy (eV/cell) = -48.8